# NdThAg2

A relaxed structure of NdThAg2 (PBE, Alexandria via LeMat-Bulk).

a b c (Å): 5.305 5.305 5.305
angles (deg): 60.00 60.00 60.00
Element x y z (fractional)
Nd (0.000, 0.000, 0.000)
Th (0.500, 0.500, 0.500)
Ag (0.250, 0.250, 0.250)
Ag (0.750, 0.750, 0.750)

Values from the calculation:
Raw total energy (eV/cell): -18.34
Distance to the lowest polymorph of the same formula (eV/atom): 0.023
ΔH_f (0 K) (meV/atom): -112

=====

# NdThAg2

A relaxed structure of NdThAg2 (PBE, Alexandria via LeMat-Bulk).

a b c (Å): 5.378 5.378 3.642
angles (deg): 90.00 90.00 90.00
Element x y z (fractional)
Nd (0.000, 0.000, 0.000)
Th (0.500, 0.500, 0.000)
Ag (0.000, 0.500, 0.500)
Ag (0.500, 0.000, 0.500)

Values from the calculation:
Raw total energy (eV/cell): -18.41
Distance to the lowest polymorph of the same formula (eV/atom): 0.005
ΔH_f (0 K) (meV/atom): -131

=====

# NdThAg4

A relaxed structure of NdThAg4 (PBE, Alexandria via LeMat-Bulk).

a b c (Å): 3.439 4.861 8.449
angles (deg): 90.00 90.00 90.00
Element x y z (fractional)
Nd (0.000, 0.000, 0.000)
Th (0.000, 0.500, 0.500)
Ag (0.500, 0.000, 0.333)
Ag (0.500, 0.000, 0.667)
Ag (0.500, 0.500, 0.166)
Ag (0.500, 0.500, 0.834)

Values from the calculation:
Raw total energy (eV/cell): -24.78
Distance to the lowest polymorph of the same formula (eV/atom): 0.000
ΔH_f (0 K) (meV/atom): -198

=====

# Nd2ThAg

A relaxed structure of Nd2ThAg (PBE, Alexandria via LeMat-Bulk).

a b c (Å): 12.097 12.097 12.097
angles (deg): 16.35 16.35 16.35
Element x y z (fractional)
Nd (0.096, 0.096, 0.096)
Nd (0.904, 0.904, 0.904)
Th (0.000, 0.000, 0.000)
Ag (0.500, 0.500, 0.500)

Values from the calculation:
Raw total energy (eV/cell): -19.02
Distance to the lowest polymorph of the same formula (eV/atom): 0.314
ΔH_f (0 K) (meV/atom): 197